Here is an optimized crystal structure of SrMnH2O from Alexandria via LeMat-Bulk. Energies are from GGA+U.

a = 3.8046 Å, b = 3.8046 Å, c = 4.2975 Å
α = 90.00°, β = 90.00°, γ = 90.00°
Each line ends with the local moment (μB).
Fractional coordinates of all 5 atoms:
Sr 0.5000 0.5000 0.5000  0.01
Mn 0.0000 0.0000 0.0000  4.49
O 0.0000 0.0000 0.5000  0.08
H 0.0000 0.5000 0.0000  -0.01
H 0.5000 0.0000 0.0000  -0.01

Crystal system ... tetragonal
Symmetry ... P4/mmm
Raw total energy ... -5.1879 eV/atom